Entry 1:
Entry from Alexandria: a relaxed structure of Cr2GeBSe (PBE-GGA).

For the uncorrected formation energy, the calculation gives 1.448 eV/atom.

```
Cr2GeBSe
1.0
4.488 0.000 0.000
0.000 3.893 0.000
0.000 0.000 4.488
Ge B Cr Se
1 1 2 1
direct
0.500 0.500 0.500
0.000 0.500 0.000
0.000 0.000 0.500
0.500 0.000 0.000
0.000 0.000 0.000
```

Entry 2:
Entry from Alexandria: a relaxed structure of V2CrGeB (PBE-GGA).

The formation energy is 1.51 eV/atom.

```
V2CrGeB
1.0
4.549 0.000 0.000
0.000 3.618 0.000
0.000 0.000 4.549
V B Ge Cr
2 1 1 1
direct
0.000 0.000 0.500
0.500 0.000 0.000
0.000 0.500 0.000
0.000 0.000 0.000
0.500 0.500 0.500
```

Entry 3:
Entry from Alexandria: a relaxed structure of CrB2H6 (PBE-GGA).

For the total energy, the calculation gives -4.65 eV per atom.

```
CrB2H6
1.0
2.536 0.209 1.458
0.558 6.958 1.457
-0.375 0.185 3.572
H B Cr
6 2 1
direct
0.774 0.635 0.871
0.235 0.814 0.743
0.226 0.365 0.129
0.052 0.221 0.643
0.948 0.779 0.357
0.765 0.186 0.257
0.252 0.192 0.276
0.748 0.808 0.724
0.000 0.000 0.000
```

Entry 4:
Entry from Alexandria: a relaxed structure of CrBH (PBE-GGA).

For the total energy, the calculation gives -6.33 eV per atom.

```
CrBH
1.0
-3.606 1.204 1.526
-0.685 -3.577 1.202
2.436 1.160 4.841
H Cr B
4 4 4
direct
0.750 0.989 0.544
0.250 0.489 0.956
0.750 0.511 0.044
0.250 0.011 0.456
0.250 0.372 0.671
0.750 0.872 0.829
0.750 0.628 0.329
0.250 0.128 0.171
0.250 0.657 0.342
0.750 0.157 0.158
0.250 0.843 0.842
0.750 0.343 0.658
```

Volume
In order: 15.68, 14.98, 7.31, 7.26
Unit: Å³/atom